# 1
Below is a geometry-optimized PmCdBr2 structure, with properties calculated at the GGA-PBE level.

Cell: 3.9071 3.9071 34.7577 Å, 90.00 90.00 120.00°
Space group R-3m (No. 166, hexagonal axes)
Asymmetric unit:
Pm (0.0000, 0.0000, 0.0000)
Cd (0.0000, 0.0000, 0.5000)
Br (0.0000, 0.0000, 0.3886)

Computed properties:
Crystal system: trigonal
Spin magnetization, μB per cell: 0.00
Final energy, eV/atom: -3.34
ΔE_f (raw), eV/atom: -1.090


# 2
Below is a geometry-optimized PmHfIr2 structure, with properties calculated at the GGA-PBE level.

Cell: 3.3427 3.3427 7.0450 Å, 90.00 90.00 90.00°
Space group P4/mmm (No. 123)
Asymmetric unit:
Pm (0.0000, 0.0000, 0.0000)
Hf (0.0000, 0.0000, 0.5000)
Ir (0.5000, 0.5000, 0.2851)

Computed properties:
Crystal system: tetragonal
Spin magnetization, μB per cell: 0.00
Formation energy from the elements, eV/f.u.: -3.1
Polymorph energy (0 for the lowest one), meV/atom: 0
Final energy, eV/atom: -8.89


# 3
Below is a geometry-optimized Ag2SbTeS4 structure, with properties calculated at the GGA-PBE level.

Cell: 11.2242 10.8469 7.8315 Å, 90.00 132.20 90.00°
Space group C2/c (No. 15)
Asymmetric unit:
Ag (0.0000, 0.0000, 0.0000)
Ag (0.2500, 0.2500, 0.0000)
Sb (0.0000, 0.5000, 0.0000)
Te (0.2500, 0.2500, 0.5000)
S (0.0415, 0.2447, 0.5577)
S (0.2384, 0.4974, 0.4780)

Computed properties:
Crystal system: monoclinic
Spin magnetization, μB per cell: 0.00
Final energy, eV/atom: -3.69
ΔE_f (raw), eV/atom: -0.008


# 4
Below is a geometry-optimized MnAg2Pt2 structure, with properties calculated at the GGA-PBE level.

Cell: 6.5380 6.5380 4.1910 Å, 90.00 90.00 90.00°
Space group P4/mbm (No. 127)
Asymmetric unit:
Mn (0.0000, 0.0000, 0.0000)
Ag (0.1648, 0.3352, 0.5000)
Pt (0.1399, 0.6399, 0.0000)

Computed properties:
Crystal system: tetragonal
Spin magnetization, μB per cell: 9.04
Formation energy from the elements, eV/f.u.: 0.4
Polymorph energy (0 for the lowest one), meV/atom: 0
Final energy, eV/atom: -5.31


# 5
Below is a geometry-optimized BaRh2Cl structure, with properties calculated at the GGA-PBE level.

Cell: 4.7279 6.3396 6.0201 Å, 90.00 90.00 90.00°
Space group Cmmm (No. 65)
Asymmetric unit:
Ba (0.0000, 0.0000, 0.0000)
Rh (0.0000, 0.5000, 0.2813)
Cl (0.0000, 0.0000, 0.5000)

Computed properties:
Crystal system: orthorhombic
Spin magnetization, μB per cell: 1.90
Polymorph energy (0 for the lowest one), meV/atom: 662
Final energy, eV/atom: -4.27
ΔE_f (raw), eV/atom: 0.348


# 6
Below is a geometry-optimized LiHfAgIr structure, with properties calculated at the GGA-PBE level.

Cell: 6.4222 6.4222 6.4222 Å, 90.00 90.00 90.00°
Space group F-43m (No. 216)
Asymmetric unit:
Li (0.0000, 0.0000, 0.0000)
Hf (0.0000, 0.0000, 0.5000)
Ag (0.2500, 0.2500, 0.7500)
Ir (0.2500, 0.2500, 0.2500)

Computed properties:
Crystal system: cubic
Spin magnetization, μB per cell: 0.00
Formation energy from the elements, eV/f.u.: -1.4
Final energy, eV/atom: -6.24


What is the spin magnetization in the fifth record?
1.90 μB per cell


Repeat the sixth record exactly.
Below is a geometry-optimized LiHfAgIr structure, with properties calculated at the GGA-PBE level.

Cell: 6.4222 6.4222 6.4222 Å, 90.00 90.00 90.00°
Space group F-43m (No. 216)
Asymmetric unit:
Li (0.0000, 0.0000, 0.0000)
Hf (0.0000, 0.0000, 0.5000)
Ag (0.2500, 0.2500, 0.7500)
Ir (0.2500, 0.2500, 0.2500)

Computed properties:
Crystal system: cubic
Spin magnetization, μB per cell: 0.00
Formation energy from the elements, eV/f.u.: -1.4
Final energy, eV/atom: -6.24